Na2ScTeF (SCAN, single point on PBEsol structure); symmetry = No. 123; E_form (uncorrected) = -1.280 eV per atom
1.0
-1.665 -3.744 0.956
3.345 -1.917 -1.684
3.078 0.149 5.943
Te Sc Na F
1 1 2 1
Direct
0.000 0.000 0.500
0.500 0.500 0.500
0.500 0.000 0.000
0.000 0.500 0.000
0.000 0.000 0.000


HfNiPS2 (SCAN, single point on PBEsol structure); offset from the most stable computed form = 0.0000 eV per atom; symmetry = No. 123; E_form (uncorrected) = 0.012 eV per atom
1.0
-0.207 -0.362 -4.314
-0.352 -4.303 0.378
-4.307 0.368 0.176
Hf S P Ni
1 2 1 1
Direct
0.500 0.500 0.500
0.500 0.000 0.000
0.000 0.500 0.000
0.000 0.000 0.500
0.000 0.000 0.000


LiSm2RuO6 (SCAN, single point on PBEsol structure); symmetry = No. 14; E_form (uncorrected) = -2.734 eV per atom
1.0
5.302 0.000 -0.006
0.000 5.724 0.000
-0.077 0.000 7.565
O Sm Ru Li
12 4 2 2
Direct
0.822 0.709 0.054
0.699 0.184 0.049
0.801 0.684 0.451
0.102 0.032 0.246
0.602 0.468 0.746
0.398 0.532 0.254
0.898 0.968 0.754
0.178 0.291 0.946
0.199 0.316 0.549
0.678 0.209 0.446
0.322 0.791 0.554
0.301 0.816 0.951
0.481 0.077 0.751
0.019 0.577 0.749
0.519 0.923 0.249
0.981 0.423 0.251
0.500 0.500 0.500
0.000 0.000 0.000
0.000 0.000 0.500
0.500 0.500 0.000


LiTi8O13 (SCAN, single point on PBEsol structure); symmetry = No. 148; E_form (uncorrected) = -3.075 eV per atom
1.0
-1.467 -3.979 -4.809
5.371 -0.782 -3.413
2.356 -5.742 1.610
O Ti Li
13 8 1
Direct
0.173 0.270 0.578
0.049 0.643 0.793
0.578 0.173 0.270
0.207 0.951 0.357
0.951 0.357 0.207
0.422 0.827 0.730
0.793 0.049 0.643
0.643 0.793 0.049
0.357 0.207 0.951
0.000 0.000 0.000
0.827 0.730 0.422
0.730 0.422 0.827
0.270 0.578 0.173
0.877 0.049 0.316
0.049 0.316 0.877
0.729 0.729 0.729
0.951 0.684 0.123
0.271 0.271 0.271
0.123 0.951 0.684
0.316 0.877 0.049
0.684 0.123 0.951
0.500 0.500 0.500


BeSiTcAg2 (SCAN, single point on PBEsol structure); symmetry = No. 123; E_form (uncorrected) = 1.559 eV per atom
1.0
-3.426 0.863 2.660
2.360 -2.245 3.769
2.086 4.340 1.279
Ag Be Si Tc
2 1 1 1
Direct
0.000 0.500 0.000
0.000 0.000 0.500
0.500 0.500 0.500
0.500 0.000 0.000
0.000 0.000 0.000


Cr2CoHg (SCAN, single point on PBEsol structure); symmetry = No. 216; energy relative to the elements = 108 kJ/mol of formula units
1.0
4.256 0.000 0.000
2.128 3.686 0.000
2.128 1.229 3.475
Cr Co Hg
2 1 1
Direct
0.000 0.000 0.000
0.750 0.750 0.750
0.500 0.500 0.500
0.250 0.250 0.250


Ba2LaRe (SCAN, single point on PBEsol structure); symmetry = No. 225; energy relative to the elements = 418 kJ/mol of formula units
1.0
5.424 0.000 0.000
2.712 4.697 0.000
2.712 1.566 4.429
Ba Re La
2 1 1
Direct
0.250 0.250 0.250
0.750 0.750 0.750
0.500 0.500 0.500
0.000 0.000 0.000


K3InTe (SCAN, single point on PBEsol structure); symmetry = No. 221; E_form (uncorrected) = -0.386 eV per atom
1.0
6.535 0.000 0.000
0.000 6.535 0.000
0.000 0.000 6.535
K Te In
3 1 1
Direct
0.000 0.000 0.500
0.500 0.000 0.000
0.000 0.500 0.000
0.000 0.000 0.000
0.500 0.500 0.500


Listing uncorrected energy for the structures above in their given order: -13.972 -21.688 -19.082 -12.694 -20.873 -30.281 -47.243 -19.511 eV per atom.
Listing volume for the structures above in their given order: 23.70 16.25 11.48 10.75 21.95 13.63 28.21 55.83 Å³ per atom.